[1]
Density functional theory data (PBE-GGA) for Tc2SbSeCl after structural relaxation.

Cell: 4.6836 4.6836 5.6504 Å, 90.00 90.00 90.00°
With the nearest neighbours (Å) after each atom.
Space group P4/mmm (No. 123)
One atom of each set of equivalent atoms:
Tc1 0.0000 0.5000 0.0000 [2 per cell]  2 Se 2.34
Sb1 0.0000 0.0000 0.5000 [1 per cell]  2 Se 2.83
Se1 0.0000 0.0000 0.0000 [1 per cell]  4 Tc 2.34
Cl1 0.5000 0.5000 0.5000 [1 per cell]  4 Sb 3.31, 8 Tc 3.67

Calculated values
final energy	-4.869	eV per atom
E_form (uncorrected)	113	kJ per mole of atoms



[2]
Density functional theory data (PBE-GGA) for SbTe2SeCl after structural relaxation.

Cell: 5.4583 5.4583 5.5539 Å, 90.00 90.00 90.00°
With the nearest neighbours (Å) after each atom.
Space group P4/mmm (No. 123)
One atom of each set of equivalent atoms:
Sb1 0.0000 0.0000 0.0000 [1 per cell]  2 Se 2.78
Te1 0.0000 0.5000 0.5000 [2 per cell]  2 Se 2.73
Se1 0.0000 0.0000 0.5000 [1 per cell]  4 Te 2.73, 2 Sb 2.78
Cl1 0.5000 0.5000 0.0000 [1 per cell]  4 Sb 3.86, 8 Te 3.89

Calculated values
final energy	-2.634	eV per atom
E_form (uncorrected)	50	kJ per mole of atoms
excess energy over the best structure of this formula in the dataset	0	meV per atom



[3]
Density functional theory data (PBE-GGA) for SbTe2SeCl after structural relaxation.

Cell: 5.3900 5.3900 5.3875 Å, 90.00 90.00 90.00°
With the nearest neighbours (Å) after each atom.
Space group P4/mmm (No. 123)
One atom of each set of equivalent atoms:
Sb1 0.0000 0.0000 0.0000 [1 per cell]  2 Cl 2.69
Te1 0.0000 0.5000 0.5000 [2 per cell]  2 Cl 2.70
Se1 0.5000 0.5000 0.0000 [1 per cell]  8 Te 3.81, 4 Sb 3.81
Cl1 0.0000 0.0000 0.5000 [1 per cell]  2 Sb 2.69, 4 Te 2.70

Calculated values
final energy	-2.201	eV per atom
E_form (uncorrected)	91	kJ per mole of atoms
excess energy over the best structure of this formula in the dataset	433	meV per atom



What is the formula in the second record? SbTe2SeCl



What is the formula in the second record? SbTe2SeCl